## La3Si3Cl2 (SCAN)

Data for a PBEsol-optimized structure of La3Si3Cl2.

a b c (Å): 9.196 9.196 10.566
angles (deg): 97.67 97.67 26.27
Atoms (fractional coordinates):
La  0.036  0.036  0.330
La  0.117  0.117  0.991
La  0.182  0.182  0.648
La  0.818  0.818  0.352
La  0.883  0.883  0.009
La  0.964  0.964  0.670
Si  0.411  0.411  0.223
Si  0.435  0.435  0.450
Si  0.481  0.481  0.888
Si  0.519  0.519  0.112
Si  0.565  0.565  0.550
Si  0.589  0.589  0.777
Cl  0.203  0.203  0.374
Cl  0.273  0.273  0.892
Cl  0.727  0.727  0.108
Cl  0.797  0.797  0.626

DOS at the Fermi energy	0.30	states/eV/atom
space-group type	C2/m
energy relative to the elements, uncorrected	-1465	meV per atom

---

## CaPdF4 (SCAN)

Data for a PBEsol-optimized structure of CaPdF4.

a b c (Å): 6.516 6.516 6.516
angles (deg): 129.78 129.78 73.76
Atoms (fractional coordinates):
Ca  0.250  0.250  0.000
Ca  0.750  0.750  0.000
Pd  0.000  0.500  0.500
Pd  0.500  0.000  0.500
F  0.040  0.540  0.852
F  0.188  0.040  0.500
F  0.312  0.812  0.852
F  0.460  0.312  0.500
F  0.540  0.688  0.500
F  0.688  0.188  0.148
F  0.812  0.960  0.500
F  0.960  0.460  0.148

DOS at the Fermi energy	0.00	states/eV/atom
space-group type	I4/mcm
energy relative to the elements, uncorrected	-2787	meV per atom

---

## KCo2Ru (SCAN)

Data for a PBEsol-optimized structure of KCo2Ru.

a b c (Å): 2.534 4.739 4.976
angles (deg): 90.00 90.00 90.00
Atoms (fractional coordinates):
K  0.000  0.000  0.000
Co  0.000  0.500  0.500
Co  0.500  0.500  0.000
Ru  0.500  0.000  0.500

energy of formation	1.403	eV per atom
DOS at the Fermi energy	0.88	states/eV/atom
space-group type	Pmmm

---

## Lu3AlNi8 (SCAN)

Data for a PBEsol-optimized structure of Lu3AlNi8.

a b c (Å): 4.917 4.917 15.620
angles (deg): 90.00 90.00 120.00
Atoms (fractional coordinates):
Lu  0.333  0.667  0.042
Lu  0.333  0.667  0.250
Lu  0.333  0.667  0.458
Lu  0.667  0.333  0.542
Lu  0.667  0.333  0.750
Lu  0.667  0.333  0.958
Al  0.333  0.667  0.750
Al  0.667  0.333  0.250
Ni  0.000  0.000  0.000
Ni  0.000  0.000  0.250
Ni  0.000  0.000  0.500
Ni  0.000  0.000  0.750
Ni  0.166  0.332  0.625
Ni  0.166  0.332  0.875
Ni  0.166  0.834  0.625
Ni  0.166  0.834  0.875
Ni  0.332  0.166  0.125
Ni  0.332  0.166  0.375
Ni  0.668  0.834  0.625
Ni  0.668  0.834  0.875
Ni  0.834  0.166  0.125
Ni  0.834  0.166  0.375
Ni  0.834  0.668  0.125
Ni  0.834  0.668  0.375

energy of formation	-0.543	eV per atom
DOS at the Fermi energy	0.77	states/eV/atom
space-group type	P6_3/mmc

---

## La2W (SCAN)

Data for a PBEsol-optimized structure of La2W.

a b c (Å): 5.242 5.242 2.952
angles (deg): 90.00 90.00 120.00
Atoms (fractional coordinates):
La  0.333  0.667  0.000
La  0.667  0.333  0.000
W  0.000  0.000  0.500

energy of formation	0.746	eV per atom
DOS at the Fermi energy	1.61	states/eV/atom
space-group type	P6/mmm

---

## Zr3GaBi (SCAN)

Data for a PBEsol-optimized structure of Zr3GaBi.

a b c (Å): 4.970 4.970 4.970
angles (deg): 90.00 90.00 90.00
Atoms (fractional coordinates):
Zr  0.000  0.000  0.500
Zr  0.000  0.500  0.000
Zr  0.500  0.000  0.000
Ga  0.000  0.000  0.000
Bi  0.500  0.500  0.500

energy of formation	0.094	eV per atom
DOS at the Fermi energy	0.84	states/eV/atom
space-group type	Pm-3m

---

Question: Which value of DOS at the Fermi energy does entry 5 give?
Answer: 1.61 states/eV/atom

---

Repeat the second record exactly.
## CaPdF4 (SCAN)

Data for a PBEsol-optimized structure of CaPdF4.

a b c (Å): 6.516 6.516 6.516
angles (deg): 129.78 129.78 73.76
Atoms (fractional coordinates):
Ca  0.250  0.250  0.000
Ca  0.750  0.750  0.000
Pd  0.000  0.500  0.500
Pd  0.500  0.000  0.500
F  0.040  0.540  0.852
F  0.188  0.040  0.500
F  0.312  0.812  0.852
F  0.460  0.312  0.500
F  0.540  0.688  0.500
F  0.688  0.188  0.148
F  0.812  0.960  0.500
F  0.960  0.460  0.148

DOS at the Fermi energy	0.00	states/eV/atom
space-group type	I4/mcm
energy relative to the elements, uncorrected	-2787	meV per atom

---

Question: Look up the DOS at the Fermi energy of the third one.
Answer: 0.88 states/eV/atom

---

Question: Which of these has the highest DOS at the Fermi energy?
Answer: La2W